[1]
## Sc4Co3Ni (PBE)

Data for Sc4Co3Ni after structural relaxation.

Results
crystal system = tetragonal
DFT formation energy = -396.6 meV/atom
E_tot = -0.51079 Ry per atom
magnetization = 0.75 μB/cell

Cell lengths 4.4243, 4.4243, 6.3020 Å; angles 90.00, 90.00, 90.00 degrees
Space group P4/mmm (No. 123)
One atom of each set of equivalent atoms:
Sc1 0.0000 0.5000 0.2475
Co1 0.0000 0.0000 0.0000
Co2 0.0000 0.0000 0.5000
Co3 0.5000 0.5000 0.0000
Ni1 0.5000 0.5000 0.5000

***

[2]
## RbCrTe3 (PBE)

Data for RbCrTe3 after structural relaxation.

Results
crystal system = cubic
E_tot = -0.20020 Ry per atom
energy above the most stable polymorph in this dataset = 1639 meV/atom
formation energy (no corrections) = 1.28 eV/atom
magnetization = 3.82 μB/cell

Cell lengths 6.1072, 6.1072, 6.1072 Å; angles 90.00, 90.00, 90.00 degrees
Space group Pm-3m (No. 221)
One atom of each set of equivalent atoms:
Rb1 0.0000 0.0000 0.0000
Cr1 0.5000 0.5000 0.5000
Te1 0.0000 0.0000 0.5000